{
  "formula": "YSc3",
  "functional": "PBEsol",
  "state": "optimized geometry",
  "lattice_angstrom": [[3.3031, 0.0000, 0.0000], [0.0000, 5.6646, 0.0081], [0.0000, -1.8623, 5.3497]],
  "species": ["Y", "Sc", "Sc", "Sc"],
  "fractional_positions": [[0.0000, 0.5000, 0.5000], [0.0000, 0.0000, 0.0000], [0.5000, 0.0000, 0.5000], [0.5000, 0.5000, 0.0000]],
  "delta_e_f_kj_per_mol_atoms": 6.1,
  "space_group": "Cmmm (65)"
}

***

{
  "formula": "K2BaSr",
  "functional": "PBEsol",
  "state": "optimized geometry",
  "lattice_angstrom": [[-1.3404, 3.7101, -1.5542], [-3.1350, -2.2768, 1.7219], [2.5278, 6.3688, 13.0232]],
  "species": ["Sr", "K", "K", "Ba"],
  "fractional_positions": [[0.0000, 0.0000, 0.4914], [0.0000, 0.0000, 0.0064], [0.5000, 0.5000, 0.7406], [0.5000, 0.5000, 0.2616]],
  "delta_e_f_kj_per_mol_atoms": 5.4,
  "space_group": "Cmm2 (35)"
}

***

{
  "formula": "Ca2TeRu",
  "functional": "PBEsol",
  "state": "optimized geometry",
  "lattice_angstrom": [[-1.4548, -2.5340, -2.7638], [1.7349, -3.6247, 2.4102], [-4.0093, -0.3204, 2.4042]],
  "species": ["Ru", "Ca", "Ca", "Te"],
  "fractional_positions": [[0.5000, 0.5000, 0.5000], [0.0000, 0.0000, 0.5000], [0.0000, 0.5000, 0.0000], [0.5000, 0.0000, 0.0000]],
  "formation_energy_uncorrected_kj_per_mol_atoms": -25,
  "space_group": "P4/mmm (123)"
}